Record 1
Zr2RhBr: optimized geometry, GGA-PBE.

Properties
- energy relative to the lowest polymorph listed for this composition (kJ/mol of atoms) = 12.2

a = 7.6952 Å, b = 7.6952 Å, c = 7.6952 Å
α = 153.70°, β = 154.54°, γ = 36.93°
Sites, in units of the cell vectors:
Zr  0.2191  0.7191  0.5000
Rh  0.7977  0.2977  0.5000
Zr  0.9353  0.9353  0.0000
Br  0.5480  0.5480  0.0000

---

Record 2
TbPaPdO6: optimized geometry, GGA-PBE.

Properties
- electronic total energy (eV per cell) = -70.89

a = 4.9008 Å, b = 5.3998 Å, c = 5.3998 Å
α = 120.00°, β = 90.00°, γ = 90.00°
Sites, in units of the cell vectors:
O  0.2587  0.3025  0.3210
O  0.7413  0.3025  0.9815
O  0.2587  0.6790  0.9815
O  0.7413  0.0185  0.3210
Pd  0.5000  0.0000  0.0000
O  0.2587  0.0185  0.6975
Tb  0.5000  0.6667  0.3333
O  0.7413  0.6790  0.6975
Pa  0.0000  0.3333  0.6667

---

Record 3
LaInRh2: optimized geometry, GGA-PBE.

Properties
- ΔE_f (eV/atom) = -0.6022

a = 4.1712 Å, b = 3.8426 Å, c = 5.5246 Å
α = 69.64°, β = 90.00°, γ = 90.00°
Sites, in units of the cell vectors:
Rh  0.5000  0.0363  0.3025
Rh  0.0000  0.2054  0.9641
La  0.5000  0.7730  0.8294
In  0.0000  0.4853  0.4040